Computed, not measured: a geometry-optimized DyTm2Zn structure at the GGA-PBE level of DFT.

Lattice parameters (Å, degrees): 10.3116 10.3116 10.3116 19.85 19.85 19.85
Last column: nearest neighbours and their distance in Å.
Element x y z (fractional)
1 Dy 0.0000 0.0000 0.0000  6 Tm 3.52-3.53, 6 Dy 3.55
2 Tm 0.5719 0.5719 0.5719  3 Zn 3.01
3 Tm 0.7609 0.7609 0.7609  3 Zn 2.99
4 Zn 0.1659 0.1659 0.1659  6 Tm 2.99-3.01

Properties
Excess energy over the best structure of this formula in the dataset ... 102 meV per atom
Calculated density ... 8.50 Mg/m³